No. 1
Density functional theory data (PBE) for crystalline Ta2NiIr at its relaxed geometry.

Results
Energy ... -9.649 eV/atom
ΔH_f (0 K) ... -62 meV per atom
Fermi-level density of states ... 1.4963 states/eV per atom
ρ ... 16.26 g/cm3
Total magnetization ... 0.000 μB/f.u.

Unit cell a=9.0621 b=9.0621 c=9.0621 alpha=18.08 beta=18.08 gamma=18.08
Fractional positions:
Ni  0.7500  0.7500  0.7500
Ta  0.0021  0.0021  0.0021
Ta  0.4979  0.4979  0.4979
Ir  0.2500  0.2500  0.2500



No. 2
Density functional theory data (PBE) for crystalline TaNi2Ir at its relaxed geometry.

Results
Energy ... -8.103 eV/atom
ΔH_f (0 K) ... -34 meV per atom
Fermi-level density of states ... 1.5096 states/eV per atom
ρ ... 14.97 g/cm3
Total magnetization ... 0.001 μB/f.u.

Unit cell a=2.7163 b=2.7163 c=7.3743 alpha=90.00 beta=90.00 gamma=89.94
Fractional positions:
Ni  0.0000  0.0000  0.9905
Ni  0.0000  0.0000  0.5095
Ir  0.5000  0.5000  0.7500
Ta  0.5000  0.5000  0.2500